Run A
Cd2In2Au: relaxed, PBE.

It has space group I4/mmm (No. 139), with a = 4.1534 Å, b = 4.1534 Å, c = 14.7160 Å, α = 90.00°, β = 90.00° and γ = 90.00°. The inequivalent atoms are Cd at (0.0000, 0.0000, 0.0918), In at (0.0000, 0.5000, 0.2500) and Au at (0.0000, 0.0000, 0.5000).

The value obtained for the density of states at the Fermi level is 0.422 states/eV per atom. As for the density: 8.5 g/cm3. Its crystal system is tetragonal. The value obtained for the total magnetization is 0.000 μB/atom.

***

Run B
Cd2In2Au: relaxed, PBE.

It has space group P4/mbm (No. 127), with a = 7.3152 Å, b = 7.3152 Å, c = 4.6049 Å, α = 90.00°, β = 90.00° and γ = 90.00°. The inequivalent atoms are Cd at (0.1582, 0.3418, 0.0000), In at (0.1499, 0.6499, 0.5000) and Au at (0.0000, 0.0000, 0.5000).

The value obtained for the density of states at the Fermi level is 0.398 states/eV per atom. As for the density: 8.8 g/cm3. Its crystal system is tetragonal. The value obtained for the total magnetization is 0.000 μB/atom.

***

Compare the structures above. Which one is the least stable? run A is.